{"formula": "InAg3Br6", "functional": "GGA-PBE", "state": "optimized geometry", "lattice_angstrom": [[7.310, 0.000, 0.000], [0.000, 7.070, 0.000], [-6.950, 0.000, 11.013]], "species": ["In", "In", "Ag", "Ag", "Ag", "Ag", "Ag", "Ag", "Br", "Br", "Br", "Br", "Br", "Br", "Br", "Br", "Br", "Br", "Br", "Br"], "frac_coords": [[0.000, 0.000, 0.000], [0.000, 0.500, 0.500], [0.288, 0.015, 0.760], [0.288, 0.485, 0.260], [0.500, 0.000, 0.500], [0.500, 0.500, 0.000], [0.712, 0.515, 0.740], [0.712, 0.985, 0.240], [0.069, 0.181, 0.416], [0.069, 0.319, 0.916], [0.273, 0.674, 0.443], [0.273, 0.826, 0.943], [0.342, 0.105, 0.232], [0.342, 0.395, 0.732], [0.658, 0.605, 0.268], [0.658, 0.895, 0.768], [0.727, 0.174, 0.057], [0.727, 0.326, 0.557], [0.931, 0.681, 0.084], [0.931, 0.819, 0.584]], "density_g_cm3": 5.4, "formation_energy_uncorrected_mev_per_atom": -483, "relative_energy_ev_per_atom": 0.000, "total_magnetization_mub_per_cell": 0.00}